Entry 1:
First-principles (PBE) data for ZnInNi4 after structural relaxation, as listed in the Alexandria database.

Properties
As for the space-group type: C2/m, No. 12. As for the energy of formation from the pure elements: -6 kJ/mol of atoms.

POSCAR file:
```
ZnInNi4
1.0
4.194 -1.774 0.000
4.194 1.774 0.000
-1.748 0.000 5.168
Zn In Ni
1 1 4
Direct
0.000 0.000 0.000 Zn
0.000 0.000 0.500 In
0.327 0.327 0.151 Ni
0.332 0.332 0.682 Ni
0.668 0.668 0.318 Ni
0.673 0.673 0.849 Ni
```

***

Entry 2:
First-principles (PBE) data for PmPr2OsO8 after structural relaxation, as listed in the Alexandria database.

Properties
The calculation puts the formation energy from raw total energies at -2.394 eV/atom. As for the space-group type: P2/m, No. 10.

POSCAR file:
```
PmPr2OsO8
1.0
5.228 0.000 0.000
0.000 7.038 0.000
-0.001 0.000 5.229
Pm Pr Os O
1 2 1 8
Direct
0.000 0.000 0.000 Pm
0.500 0.251 0.500 Pr
0.500 0.749 0.500 Pr
0.000 0.500 0.000 Os
0.177 0.296 0.822 O
0.177 0.704 0.822 O
0.252 0.500 0.251 O
0.308 0.000 0.307 O
0.692 0.000 0.693 O
0.748 0.500 0.749 O
0.823 0.296 0.178 O
0.823 0.704 0.178 O
```

***

Entry 3:
First-principles (PBE) data for Ti2BeAsOs after structural relaxation, as listed in the Alexandria database.

Properties
As for the space-group type: P4/mmm, No. 123. As for the energy of formation from the pure elements: 41 kJ/mol of atoms.

POSCAR file:
```
Ti2BeAsOs
1.0
4.744 0.000 0.000
0.000 4.744 0.000
0.000 0.000 4.215
Ti Be As Os
2 1 1 1
Direct
0.000 0.500 0.000 Ti
0.500 0.000 0.000 Ti
0.000 0.000 0.500 Be
0.500 0.500 0.500 As
0.000 0.000 0.000 Os
```

***

Entry 4:
First-principles (PBE) data for MgSiW3 after structural relaxation, as listed in the Alexandria database.

Properties
The value obtained for the offset from the most stable computed form is 0 meV per atom. The calculation puts the formation energy from raw total energies at 1.235 eV/atom. As for the space-group type: Pm-3m, No. 221.

POSCAR file:
```
MgSiW3
1.0
4.549 0.000 0.000
0.000 4.549 0.000
0.000 0.000 4.549
Mg Si W
1 1 3
Direct
0.000 0.000 0.000 Mg
0.500 0.500 0.500 Si
0.000 0.500 0.500 W
0.500 0.000 0.500 W
0.500 0.500 0.000 W
```

***

Entry 5:
First-principles (PBE) data for SrLaTc2 after structural relaxation, as listed in the Alexandria database.

Properties
The value obtained for the offset from the most stable computed form is 622 meV per atom. As for the space-group type: Pmmm, No. 47. As for the energy of formation from the pure elements: 89 kJ/mol of atoms.

POSCAR file:
```
SrLaTc2
1.0
3.614 0.000 0.000
0.000 4.726 0.000
0.000 0.000 5.166
Sr La Tc
1 1 2
Direct
0.000 0.000 0.000 Sr
0.500 0.000 0.500 La
0.000 0.500 0.500 Tc
0.500 0.500 0.000 Tc
```

***

Entry 6:
First-principles (PBE) data for K2TaRh after structural relaxation, as listed in the Alexandria database.

Properties
The value obtained for the offset from the most stable computed form is 645 meV per atom. As for the space-group type: Cmmm, No. 65. As for the energy of formation from the pure elements: 100 kJ/mol of atoms.

POSCAR file:
```
K2TaRh
1.0
1.517 -2.490 0.000
1.517 2.490 0.000
0.000 0.000 12.057
K Ta Rh
2 1 1
Direct
0.000 0.000 0.220 K
0.000 0.000 0.780 K
0.500 0.500 0.500 Ta
0.500 0.500 0.000 Rh
```

***

Entry 7:
First-principles (PBE) data for Tb2Nd5SmTm after structural relaxation, as listed in the Alexandria database.

Properties
As for the space-group type: Cmc2_1, No. 36. As for the energy of formation from the pure elements: 14 kJ/mol of atoms.

POSCAR file:
```
Tb2Nd5SmTm
1.0
2.831 -10.243 0.000
2.831 10.243 0.000
0.000 0.000 10.746
Tb Nd Sm Tm
4 10 2 2
Direct
0.111 0.889 0.500 Tb
0.116 0.884 0.075 Tb
0.884 0.116 0.575 Tb
0.889 0.111 0.000 Tb
0.016 0.984 0.781 Nd
0.280 0.720 0.072 Nd
0.297 0.703 0.467 Nd
0.388 0.612 0.785 Nd
0.482 0.518 0.506 Nd
0.518 0.482 0.006 Nd
0.612 0.388 0.285 Nd
0.703 0.297 0.967 Nd
0.720 0.280 0.572 Nd
0.984 0.016 0.281 Nd
0.200 0.800 0.772 Sm
0.800 0.200 0.272 Sm
0.408 0.592 0.224 Tm
0.592 0.408 0.724 Tm
```

***

Entry 8:
First-principles (PBE) data for Ho2Ga3Pt2 after structural relaxation, as listed in the Alexandria database.

Properties
As for the space-group type: C2/m, No. 12. As for the energy of formation from the pure elements: -90 kJ/mol of atoms.

POSCAR file:
```
Ho2Ga3Pt2
1.0
5.009 -2.170 0.000
5.009 2.170 0.000
-2.612 0.000 6.147
Ho Ga Pt
2 3 2
Direct
0.152 0.152 0.275 Ho
0.848 0.848 0.725 Ho
0.386 0.386 0.058 Ga
0.500 0.500 0.500 Ga
0.614 0.614 0.942 Ga
0.141 0.141 0.716 Pt
0.859 0.859 0.284 Pt
```

***

no.,DFT total energy (Ry/atom)
1,-0.3373
2,-0.5753
3,-0.4893
4,-0.5836
5,-0.4343
6,-0.3170
7,-0.3351
8,-0.3872